Entry 1:
# CuMo2P

An optimized crystal structure of CuMo2P (PBE, the Alexandria database).

The structure belongs to space group R-3m (No. 166, hexagonal axes); the cell edges are 2.8647, 2.8647 and 24.4504 Å and the angles 90.00°, 90.00° and 120.00°. The distinct sites, in fractional coordinates, are Cu at (0.0000, 0.0000, 0.0000), Mo at (0.0000, 0.0000, 0.2441) and P at (0.0000, 0.0000, 0.5000).

The formation energy from the elements comes out at 65 kJ/mol of formula units.

***

Entry 2:
# Cu2Mo2P

An optimized crystal structure of Cu2Mo2P (PBE, the Alexandria database).

The structure belongs to space group P4/mbm (No. 127); the cell edges are 6.156, 6.156 and 4.010 Å and the angles 90.00°, 90.00° and 90.00°. The distinct sites, in fractional coordinates, are Cu at (0.150, 0.350, 0.000), Mo at (0.147, 0.647, 0.500) and P at (0.000, 0.000, 0.500).

The formation energy from the elements comes out at 84 kJ/mol of formula units.

***

Entry 3:
# CuMoP2

An optimized crystal structure of CuMoP2 (PBE, the Alexandria database).

The structure belongs to space group R3m (No. 160, hexagonal axes); the cell edges are 3.0353, 3.0353 and 21.4811 Å and the angles 90.00°, 90.00° and 120.00°. The distinct sites, in fractional coordinates, are Cu at (0.0000, 0.0000, 0.0000), Mo at (0.0000, 0.0000, 0.2324), P at (0.0000, 0.0000, 0.4881) and P at (0.0000, 0.0000, 0.7394).

The formation energy from the elements comes out at 59 kJ/mol of formula units.

***

Entry 4:
# Cu2MoP

An optimized crystal structure of Cu2MoP (PBE, the Alexandria database).

The structure belongs to space group R3m (No. 160, hexagonal axes); the cell edges are 2.8820, 2.8820 and 23.4631 Å and the angles 90.00°, 90.00° and 120.00°. The distinct sites, in fractional coordinates, are Cu at (0.0000, 0.0000, 0.0000), Cu at (0.0000, 0.0000, 0.2496), Mo at (0.0000, 0.0000, 0.4899) and P at (0.0000, 0.0000, 0.7491).

The formation energy from the elements comes out at 57 kJ/mol of formula units.

***

| no. | E (eV per atom) | magnetic moment (μB per formula unit) |
| --- | --- | --- |
| 1 | -7.62 | 0.00 |
| 2 | -6.88 | 0.00 |
| 3 | -6.28 | 0.00 |
| 4 | -5.96 | 0.00 |